1.
BeBiO2 | PBE | relaxed

## Properties
Offset from the most stable computed form = 487.3 kJ/mol of formula units
E = -4.60 eV/atom
Raw formation energy = -0.224 eV per atom

Lattice parameters (Å, degrees): 5.844 5.844 5.844 90.00 90.00 90.00
Space group Fm-3m (No. 225)
Unique sites:
1 Be 0.000 0.000 0.000 (multiplicity 4)
2 Bi 0.000 0.000 0.500 (multiplicity 4)
3 O 0.250 0.250 0.250 (multiplicity 8)

2.
YSiNi4 | PBE | relaxed

## Properties
Offset from the most stable computed form = 0.0 kJ/mol of formula units
E = -6.44 eV/atom
Raw formation energy = -0.606 eV per atom

Lattice parameters (Å, degrees): 5.076 8.205 3.944 90.00 90.00 90.00
Space group Cmmm (No. 65)
Unique sites:
1 Y 0.000 0.000 0.000 (multiplicity 2)
2 Si 0.000 0.500 0.500 (multiplicity 2)
3 Ni 0.000 0.342 0.000 (multiplicity 4)
4 Ni 0.250 0.250 0.500 (multiplicity 4)

3.
KRuO4 | PBE | relaxed

## Properties
Offset from the most stable computed form = 6.1 kJ/mol of formula units
E = -6.14 eV/atom
Raw formation energy = -1.105 eV per atom

Lattice parameters (Å, degrees): 7.585 8.038 9.558 90.00 128.11 90.00
Space group P2_1/c (No. 14)
Unique sites:
1 K 0.170 0.151 0.272 (multiplicity 4)
2 Ru 0.314 0.662 0.196 (multiplicity 4)
3 O 0.136 0.665 0.623 (multiplicity 4)
4 O 0.204 0.501 0.245 (multiplicity 4)
5 O 0.328 0.603 0.027 (multiplicity 4)
6 O 0.414 0.211 0.117 (multiplicity 4)

Q: Which of these has the lowest raw formation energy?
A: KRuO4